Entry 1:
Computed, not measured: a geometry-optimized Ce5Tm3Te8 structure at the PBE level of DFT.

Geometry as CIF:
```
data_Ce5Tm3Te8
_space_group_name_H-M_alt 'P 1'
_space_group_IT_number 1
_cell_length_a 8.895
_cell_length_b 8.895
_cell_length_c 8.895
_cell_angle_alpha 59.17
_cell_angle_beta 59.17
_cell_angle_gamma 59.17
loop_
_space_group_symop_operation_xyz
'x,y,z'
loop_
_atom_site_label
_atom_site_fract_x
_atom_site_fract_y
_atom_site_fract_z
Ce1 0.000 0.000 0.000
Ce2 0.000 0.500 0.500
Ce3 0.500 0.000 0.500
Ce4 0.500 0.500 0.000
Ce5 0.500 0.500 0.500
Tm1 0.000 0.000 0.500
Tm2 0.000 0.500 0.000
Tm3 0.500 0.000 0.000
Te1 0.239 0.750 0.750
Te2 0.245 0.245 0.245
Te3 0.250 0.250 0.761
Te4 0.250 0.761 0.250
Te5 0.750 0.239 0.750
Te6 0.750 0.750 0.239
Te7 0.755 0.755 0.755
Te8 0.761 0.250 0.250
```

***

Entry 2:
Computed, not measured: a geometry-optimized Ce3TmTe4 structure at the PBE level of DFT.

Geometry as CIF:
```
data_Ce3TmTe4
_space_group_name_H-M_alt 'P 1'
_space_group_IT_number 1
_cell_length_a 7.723
_cell_length_b 7.723
_cell_length_c 4.393
_cell_angle_alpha 90.00
_cell_angle_beta 90.00
_cell_angle_gamma 108.86
loop_
_space_group_symop_operation_xyz
'x,y,z'
loop_
_atom_site_label
_atom_site_fract_x
_atom_site_fract_y
_atom_site_fract_z
Ce1 0.000 0.000 0.000
Ce2 0.000 0.500 0.500
Ce3 0.500 0.000 0.500
Tm1 0.500 0.500 0.000
Te1 0.256 0.744 0.000
Te2 0.261 0.261 0.500
Te3 0.739 0.739 0.500
Te4 0.744 0.256 0.000
```

***

Entry 3:
Computed, not measured: a geometry-optimized CeTmTe2 structure at the PBE level of DFT.

Geometry as CIF:
```
data_CeTmTe2
_space_group_name_H-M_alt 'P 1'
_space_group_IT_number 1
_cell_length_a 7.788
_cell_length_b 7.788
_cell_length_c 7.788
_cell_angle_alpha 32.33
_cell_angle_beta 32.33
_cell_angle_gamma 32.33
loop_
_space_group_symop_operation_xyz
'x,y,z'
loop_
_atom_site_label
_atom_site_fract_x
_atom_site_fract_y
_atom_site_fract_z
Ce1 0.000 0.000 0.000
Tm1 0.500 0.500 0.500
Te1 0.245 0.245 0.245
Te2 0.755 0.755 0.755
```

* relative energy among the computed polymorphs: 0.0 meV/atom

***

no.,raw formation energy (eV per formula unit)
1,-20.834
2,-10.567
3,-5.147